Record 1
Bi2IO, relaxed, DFT PBE-GGA; space group = Fm-3m; density of states at the Fermi level = 3.29 states/eV/f.u.
1.0
0.0000 3.6896 3.6896
3.6896 0.0000 3.6896
3.6896 3.6896 0.0000
Bi O I
2 1 1
Cartesian
1.8448 1.8448 1.8448
5.5343 5.5343 5.5343
0.0000 0.0000 0.0000
3.6896 3.6896 3.6896

=====

Record 2
BiI2O6, relaxed, DFT PBE-GGA; space group = C2/c; density of states at the Fermi level = 3.13 states/eV/f.u.
1.0
0.3395 1.9715 5.7400
-5.4066 -4.5917 3.1129
6.5346 -3.6087 2.0691
I O Bi
4 12 2
Cartesian
-0.4499 -4.1138 8.1836
-0.8780 -1.3734 5.8676
2.3455 -4.8555 5.0544
1.9174 -2.1150 2.7384
-0.1932 0.5419 5.7583
-2.3150 -4.0651 8.4606
-0.4255 -3.9719 6.3580
1.6607 -6.7708 5.1636
4.1974 -4.5008 5.0065
1.8930 -2.2570 4.5640
0.9224 -0.3380 2.7760
0.5451 -5.8908 8.1460
3.7825 -2.1637 2.4613
-2.7299 -1.7281 5.9154
-0.5166 -1.4836 7.6595
1.9841 -4.7453 3.2625
5.5631 -3.2028 3.5964
-4.0956 -3.0261 7.3255

=====

Values for relative energy among the computed polymorphs, meV/atom, ordered as above
681; 25
Values for energy relative to the elements, uncorrected, eV per atom, ordered as above
0.443; -0.398